Run a
A relaxed LaS crystal, computed with PBE.

The calculation puts the volume at 203 Å³ per cell.

The space group is Fm-3m (No. 225) and the conventional cell measures 5.879, 5.879 and 5.879 Å, with angles of 90.00, 90.00 and 90.00 degrees. The distinct sites, in fractional coordinates, are La at (0.000, 0.000, 0.000) and S at (0.000, 0.000, 0.500).



Run b
A relaxed LaS crystal, computed with PBE.

The calculation puts the volume at 485 Å³ per cell.

The space group is P6_3/m (No. 176) and the conventional cell measures 10.6985, 10.6985 and 4.8915 Å, with angles of 90.00, 90.00 and 120.00 degrees. The distinct sites, in fractional coordinates, are La at (0.1226, 0.6804, 0.2500) and S at (0.0292, 0.3763, 0.2500).



Relative to the most stable structure, the computed energies are run a 0.0; run b 49.7, all in kJ/mol of atoms.